Cr2MoW | PBE-GGA | relaxed

Unit cell a=2.6557 b=2.6557 c=8.4273 alpha=90.00 beta=90.00 gamma=109.67
Last column: nearest neighbours and their distance in Å.
Element x y z (fractional)
Cr: 0.0000 0.0000 0.0000  6 Cr 2.42-2.66, 2 W 2.62
Cr: 0.5000 0.5000 0.2220  6 Cr 2.42-2.66, 2 Mo 2.61
Mo: 0.0000 0.0000 0.4724  2 Cr 2.61, 4 Mo 2.66, 2 W 2.78
W: 0.5000 0.5000 0.7476  2 Cr 2.62, 4 W 2.66, 2 Mo 2.78

DOS(E_F) in states/eV/cell: 2.88
Space-group type: Cmm2
Energy of formation from the pure elements in kJ/mol of atoms: 8.8